Li2PaTe3 after structural relaxation, computed with GGA-PBE.

CIF file:
```
data_Li2PaTe3
_chemical_formula_sum 'Li4 Pa2 Te6'
_cell_length_a 7.4988
_cell_length_b 4.3751
_cell_length_c 10.9263
_cell_angle_alpha 90.00
_cell_angle_beta 96.77
_cell_angle_gamma 90.00
_symmetry_space_group_name_H-M 'P 1 21/m 1'
_symmetry_Int_Tables_number 11
loop_
_symmetry_equiv_pos_as_xyz
'x,y,z'
'-x,-y,-z'
'-x,y+1/2,-z'
'x,-y+1/2,z'
loop_
_atom_site_label
_atom_site_type_symbol
_atom_site_fract_x
_atom_site_fract_y
_atom_site_fract_z
_atom_site_occupancy
Li1 Li 0.1026 0.2500 0.1819 1
Li2 Li 0.1786 0.7500 0.5590 1
Pa1 Pa 0.3865 0.2500 0.8298 1
Te1 Te 0.0274 0.2500 0.6759 1
Te2 Te 0.2478 0.7500 0.0002 1
Te3 Te 0.4643 0.2500 0.3237 1
```

Computed properties:
Uncorrected formation energy = -0.900 eV per atom
DFT total energy = -4.6911 eV/atom
Excess energy over the best structure of this formula in the dataset = 14 meV per atom
Size of the total moment = 2.0 Bohr magnetons per cell